A plane-wave DFT calculation with PBE was carried out for an optimized crystal structure of PaTaTc.

Cell: 6.222 6.222 6.222 Å, 150.25 150.25 42.57°
Fractional positions:
Pa 0.000 0.000 0.000
Ta 0.703 0.703 0.000
Tc 0.329 0.329 0.000

mass density	14316	kg/m3
SG	I4mm
DFT total energy	-10.640	eV/atom
energy above the lowest structure with this stoichiometry	0.0	meV per atom
crystal system	tetragonal

***

A plane-wave DFT calculation with PBE was carried out for an optimized crystal structure of LaPm2In4.

Cell: 8.416 8.416 8.416 Å, 142.31 142.31 54.36°
Fractional positions:
La 0.000 0.000 0.000
Pm 0.257 0.257 0.000
Pm 0.743 0.743 0.000
In 0.120 0.620 0.500
In 0.380 0.880 0.500
In 0.620 0.120 0.500
In 0.880 0.380 0.500

mass density	6664	kg/m3
SG	I4/mmm
DFT total energy	-3.933	eV/atom
crystal system	tetragonal

***

A plane-wave DFT calculation with PBE was carried out for an optimized crystal structure of KTa3H.

Cell: 4.668 4.668 4.668 Å, 90.00 90.00 90.00°
Fractional positions:
K 0.000 0.000 0.000
Ta 0.000 0.000 0.500
Ta 0.000 0.500 0.000
Ta 0.500 0.000 0.000
H 0.500 0.500 0.500

mass density	9517	kg/m3
SG	Pm-3m
DFT total energy	-4.261	eV/atom
energy above the lowest structure with this stoichiometry	2512.8	meV per atom
crystal system	cubic

***

A plane-wave DFT calculation with PBE was carried out for an optimized crystal structure of YBePt3.

Cell: 5.076 5.076 5.076 Å, 90.00 90.00 90.00°
Fractional positions:
Y 0.000 0.000 0.000
Be 0.500 0.500 0.500
Pt 0.000 0.000 0.500
Pt 0.000 0.500 0.000
Pt 0.500 0.000 0.000

mass density	8676	kg/m3
SG	Pm-3m
DFT total energy	-4.361	eV/atom
energy above the lowest structure with this stoichiometry	2257.7	meV per atom
crystal system	cubic

***

M_tot readings, ordered: 0.00 0.00 0.00 0.00 Bohr magnetons per cell
N(E_F) readings, ordered: 4.7 6.2 7.0 3.5 states/eV/f.u.